[1]
The following is a DFT calculation (SCAN) of a PBEsol-optimized structure of Mg2AgPb.

Unit cell a=5.0354 b=5.0354 c=5.6437 alpha=101.45 beta=101.45 gamma=38.79
Fractional positions:
Mg 0.2400 0.2400 0.2242
Mg 0.7600 0.7600 0.7758
Ag 0.5000 0.5000 0.0000
Pb 0.0000 0.0000 0.5000

Calculated values
* Fermi-level density of states: 0.334 states/eV per atom
* magnetic moment: 0.0 μB/cell
* formation energy from the elements: -99 meV/atom
* symmetry: C2/m
* raw total energy: -29.3728 eV/atom

=====

[2]
The following is a DFT calculation (SCAN) of a PBEsol-optimized structure of MgAgPb.

Unit cell a=4.8416 b=4.8416 c=3.3070 alpha=90.00 beta=90.00 gamma=120.00
Fractional positions:
Mg 0.0000 0.0000 0.0000
Ag 0.3333 0.6667 0.7213
Pb 0.6667 0.3333 0.4505

Calculated values
* Fermi-level density of states: 0.447 states/eV per atom
* magnetic moment: 0.0 μB/cell
* formation energy from the elements: 12 meV/atom
* symmetry: P3m1
* raw total energy: -37.3624 eV/atom

=====

[3]
The following is a DFT calculation (SCAN) of a PBEsol-optimized structure of MgAg2Pb.

Unit cell a=4.8542 b=4.8542 c=4.8542 alpha=60.00 beta=60.00 gamma=60.00
Fractional positions:
Mg 0.0000 0.0000 0.0000
Ag 0.2500 0.2500 0.2500
Ag 0.5000 0.5000 0.5000
Pb 0.7500 0.7500 0.7500

Calculated values
* Fermi-level density of states: 0.289 states/eV per atom
* magnetic moment: 0.0 μB/cell
* formation energy from the elements: 1 meV/atom
* symmetry: F-43m
* raw total energy: -35.8708 eV/atom

=====

[4]
The following is a DFT calculation (SCAN) of a PBEsol-optimized structure of MgAg2Pb.

Unit cell a=5.2540 b=5.2540 c=5.2540 alpha=131.19 beta=131.19 gamma=71.51
Fractional positions:
Mg 0.0000 0.0000 0.0000
Ag 0.2500 0.7500 0.5000
Ag 0.7500 0.2500 0.5000
Pb 0.5000 0.5000 0.0000

Calculated values
* Fermi-level density of states: 0.339 states/eV per atom
* magnetic moment: 0.0 μB/cell
* formation energy from the elements: -46 meV/atom
* symmetry: I4/mmm
* raw total energy: -35.9178 eV/atom

=====

- The highest formation energy from the elements belongs to which entry?
  MgAgPb